[1]
Density functional theory data (PBE) for LuScIr4 after structural relaxation.

Properties
V: 17.306 Å³ per atom
Electronic total energy: -0.625 Ry/atom
Space group: F-43m (216)

Structure (extended XYZ):
```
6
Lattice="0.000 3.731 3.731 3.731 0.000 3.731 3.731 3.731 0.000" Properties=species:S:1:pos:R:3 pbc="T T T"
Lu 0.000 0.000 0.000
Sc 1.865 1.865 1.865
Ir 4.662 2.799 2.799
Ir 2.799 4.662 2.799
Ir 2.799 2.799 4.662
Ir 4.662 4.662 4.662
```

***

[2]
Density functional theory data (PBE) for Lu2ScIr after structural relaxation.

Properties
Energy relative to the lowest polymorph listed for this composition: 0 meV per atom
V: 23.677 Å³ per atom
Electronic total energy: -0.479 Ry/atom
Space group: P4/mmm (123)

Structure (extended XYZ):
```
4
Lattice="3.416 0.000 0.000 0.000 3.416 0.000 0.000 0.000 8.116" Properties=species:S:1:pos:R:3 pbc="T T T"
Lu 0.000 0.000 1.586
Lu 0.000 0.000 6.530
Sc 1.708 1.708 4.058
Ir 1.708 1.708 0.000
```

***

[3]
Density functional theory data (PBE) for Lu2ScIr after structural relaxation.

Properties
Energy relative to the lowest polymorph listed for this composition: 196 meV per atom
V: 26.354 Å³ per atom
Electronic total energy: -0.465 Ry/atom
Space group: R-3m (166)

Structure (extended XYZ):
```
4
Lattice="1.838 1.061 9.007 -1.838 1.061 9.007 0.000 -2.122 9.007" Properties=species:S:1:pos:R:3 pbc="T T T"
Lu 0.000 0.000 6.183
Lu 0.000 0.000 20.840
Sc 0.000 0.000 0.000
Ir 0.000 0.000 13.511
```